Record 1
VASP calculation (PBE) on a relaxed NdTm2Bi2 crystal.

Output
Raw total energy = -4.743 eV per atom
Crystal system = monoclinic
ΔH_f (0 K) = -448 meV/atom
SG = C2/m
Spin magnetization = 0.00 μB per atom

abc: 4.5292 4.5292 8.2280
angles: 105.79 105.79 90.10
With the nearest neighbours (Å) after each atom.
Element x y z (fractional)
Nd 0.0000 0.0000 0.0000  8 Bi 3.56-3.59
Tm 0.2503 0.7497 0.5000  4 Bi 3.16, 4 Tm 3.20-3.21
Tm 0.7497 0.2503 0.5000  4 Bi 3.16, 4 Tm 3.20-3.21
Bi 0.3937 0.3937 0.7902  4 Tm 3.16, 1 Bi 3.19
Bi 0.6063 0.6063 0.2098  4 Tm 3.16, 1 Bi 3.19

***

Record 2
VASP calculation (PBE) on a relaxed NpGaPdRu crystal.

Output
Raw total energy = -7.840 eV per atom
Crystal system = cubic
ΔH_f (0 K) = -230 meV/atom
SG = F-43m
Spin magnetization = 0.86 μB per atom

abc: 4.6272 4.6272 4.6272
angles: 60.00 60.00 60.00
With the nearest neighbours (Å) after each atom.
Element x y z (fractional)
Np 0.0000 0.0000 0.0000  4 Pd 2.83, 4 Ru 2.83
Ga 0.5000 0.5000 0.5000  4 Ru 2.83, 4 Pd 2.83
Pd 0.7500 0.7500 0.7500  4 Np 2.83, 4 Ga 2.83
Ru 0.2500 0.2500 0.2500  4 Np 2.83, 4 Ga 2.83

***

Record 3
VASP calculation (PBE) on a relaxed MgNbFeNi crystal.

Output
Raw total energy = -6.487 eV per atom
Crystal system = cubic
ΔH_f (0 K) = -10 meV/atom
SG = F-43m
Spin magnetization = 0.18 μB per atom

abc: 4.3011 4.3011 4.3011
angles: 60.00 60.00 60.00
With the nearest neighbours (Å) after each atom.
Element x y z (fractional)
Mg 0.0000 0.0000 0.0000  4 Ni 2.63, 4 Fe 2.63
Nb 0.5000 0.5000 0.5000  4 Fe 2.63, 4 Ni 2.63
Fe 0.2500 0.2500 0.2500  4 Nb 2.63, 4 Mg 2.63
Ni 0.7500 0.7500 0.7500  4 Nb 2.63, 4 Mg 2.63

***

Record 4
VASP calculation (PBE) on a relaxed TlTc2Mo crystal.

Output
Raw total energy = -7.948 eV per atom
E above lowest polymorph = 133 meV/atom
Crystal system = cubic
ΔH_f (0 K) = 534 meV/atom
SG = Fm-3m
Spin magnetization = 0.00 μB per atom

abc: 4.5458 4.5458 4.5458
angles: 60.00 60.00 60.00
With the nearest neighbours (Å) after each atom.
Element x y z (fractional)
Tl 0.0000 0.0000 0.0000  8 Tc 2.78
Tc 0.2500 0.2500 0.2500  4 Mo 2.78, 4 Tl 2.78
Tc 0.7500 0.7500 0.7500  4 Tl 2.78, 4 Mo 2.78
Mo 0.5000 0.5000 0.5000  8 Tc 2.78